First-principles (GGA-PBE) data for a relaxed structure of Tb2NdIn3IrAu2, as listed in the Open Quantum Materials Database.

Values from the calculation:
Symmetry: Amm2 (38)
Crystal system: orthorhombic

Unit cell a=4.0233 b=7.7488 c=7.7488 alpha=120.09 beta=90.00 gamma=90.00
Closest atoms and distances in Å follow each position.
Fractional coordinates of all 9 atoms:
1 Tb 0.0000 0.1983 0.8017  1 Ir 3.06, 4 Au 3.09-3.10, 6 In 3.35-3.39
2 Tb 0.0000 0.8017 0.1983  1 Ir 3.06, 4 Au 3.09-3.10, 6 In 3.35-3.39
3 Nd 0.0000 0.5991 0.5991  1 Ir 3.13, 4 Au 3.14, 6 In 3.36-3.39
4 In 0.5000 0.1972 0.4496  2 Ir 2.81, 2 Au 2.90-2.97
5 In 0.5000 0.4496 0.1972  2 Ir 2.81, 2 Au 2.90-2.97
6 In 0.5000 0.9469 0.9469  2 Ir 2.78, 2 Au 2.98
7 Ir 0.0000 0.1942 0.1942  6 In 2.78-2.81, 2 Tb 3.06
8 Au 0.5000 0.5300 0.8700  3 In 2.90-2.98, 4 Tb 3.09-3.10, 2 Nd 3.14
9 Au 0.5000 0.8700 0.5300  3 In 2.90-2.98, 4 Tb 3.09-3.10, 2 Nd 3.14


First-principles (GGA-PBE) data for a relaxed structure of ZrAlFeTc, as listed in the Open Quantum Materials Database.

Values from the calculation:
Excess energy over the best structure of this formula in the dataset: 1.11 eV per formula unit
Symmetry: F-43m (216)
Crystal system: cubic

Unit cell a=4.5011 b=4.5011 c=4.5011 alpha=60.00 beta=60.00 gamma=60.00
Closest atoms and distances in Å follow each position.
Fractional coordinates of all 4 atoms:
1 Zr 0.0000 0.0000 0.0000  4 Tc 2.76, 4 Al 2.76
2 Al 0.2500 0.2500 0.2500  4 Zr 2.76, 4 Fe 2.76
3 Fe 0.5000 0.5000 0.5000  4 Tc 2.76, 4 Al 2.76
4 Tc 0.7500 0.7500 0.7500  4 Zr 2.76, 4 Fe 2.76


no.,VASP energy (eV/cell)
1,-44.2
2,-30.9